Below is a relaxed KCa2Mg crystal, with properties calculated at the PBE level.

Cell and atoms, written as POSCAR:
```
KCa2Mg
1.0
7.347 -0.010 -0.008
-3.397 6.515 -0.008
0.783 1.289 3.433
Ca Mg K
2 1 1
Direct
0.500 0.500 0.000
0.000 0.000 0.000
0.000 0.500 0.500
0.500 0.000 0.500
```

Summary:
space-group type: C2/m, No. 12
E_form: 0.19 eV per atom
calculated density: 1.45 g/cm³

=====

Below is a relaxed BaMg2SiAu4 crystal, with properties calculated at the PBE level.

Cell and atoms, written as POSCAR:
```
BaMg2SiAu4
1.0
-3.495 -2.778 -0.489
-1.491 -2.373 3.510
-8.077 5.925 3.447
Au Mg Ba Si
4 2 1 1
Direct
0.593 0.593 0.220
0.137 0.137 0.590
0.863 0.863 0.410
0.407 0.407 0.780
0.767 0.767 0.699
0.233 0.233 0.301
0.000 0.000 0.000
0.500 0.500 0.500
```

Summary:
space-group type: R-3m, No. 166
formation energy from raw total energies: -3.4 eV/f.u.
calculated density: 9.27 g/cm³